Here is a geometry-optimized PuCoSb structure from Alexandria. Energies are from PBE. Values from VASP.

Quantum ESPRESSO input file:
```
&SYSTEM
  ibrav = 0, nat = 6, ntyp = 3
/
ATOMIC_SPECIES
Co 58.93 Co.upf
Sb 121.76 Sb.upf
Pu 244.00 Pu.upf
CELL_PARAMETERS angstrom
4.364 0.000 0.000
0.000 4.545 0.244
-2.182 -0.322 6.083
ATOMIC_POSITIONS crystal
Co 0.251 0.751 0.503
Co 0.749 0.249 0.497
Sb 0.626 0.750 0.252
Sb 0.374 0.250 0.748
Pu 0.097 0.250 0.194
Pu 0.903 0.750 0.806
```

Summary:
**Formation energy from raw total energies**: -0.3625 eV per atom
**DOS(E_F)**: 13.16 states/eV/cell
**Space-group type**: C2/m (12)